Entry 1:
# GGA-PBE Li5Zn4, relaxed
data_Li5Zn4
_symmetry_space_group_name_H-M 'I 4/m m m'
_symmetry_Int_Tables_number 139
_symmetry_space_group_name_Hall '-I 4 2'
_cell_length_a 8.1775
_cell_length_b 8.1775
_cell_length_c 4.0781
_cell_angle_alpha 90.00
_cell_angle_beta 90.00
_cell_angle_gamma 90.00
loop_
_atom_site_label
_atom_site_fract_x
_atom_site_fract_y
_atom_site_fract_z
Li1 0.0000 0.0000 0.0000
Li2 0.0000 0.3225 0.0000
Zn1 0.1696 0.1696 0.5000
# Fermi-level density of states: 0.36 states/eV/atom
# Distance to the lowest polymorph of the same formula: 0 meV per atom
# Volume: 272.71 Å³/cell
# VASP energy: -0.132 Ry per atom



Entry 2:
# GGA-PBE Cs2AcF6, relaxed
data_Cs2AcF6
_symmetry_space_group_name_H-M 'I m m m'
_symmetry_Int_Tables_number 71
_symmetry_space_group_name_Hall '-I 2 2'
_cell_length_a 4.5863
_cell_length_b 6.8454
_cell_length_c 13.8146
_cell_angle_alpha 90.00
_cell_angle_beta 90.00
_cell_angle_gamma 90.00
loop_
_atom_site_label
_atom_site_fract_x
_atom_site_fract_y
_atom_site_fract_z
Cs1 0.0000 0.0000 0.1674
Ac1 0.0000 0.0000 0.5000
F1 0.0000 0.2199 0.3635
F2 0.0000 0.3182 0.0000
# Fermi-level density of states: 1.15 states/eV/atom
# Volume: 433.70 Å³/cell
# Energy relative to the elements, uncorrected: -3.0844 eV per atom
# VASP energy: -0.366 Ry per atom



Entry 3:
# GGA-PBE CaSI2O, relaxed
data_CaSI2O
_symmetry_space_group_name_H-M 'P 4/m m m'
_symmetry_Int_Tables_number 123
_symmetry_space_group_name_Hall '-P 4 2'
_cell_length_a 5.7904
_cell_length_b 5.7904
_cell_length_c 3.7768
_cell_angle_alpha 90.00
_cell_angle_beta 90.00
_cell_angle_gamma 90.00
loop_
_atom_site_label
_atom_site_fract_x
_atom_site_fract_y
_atom_site_fract_z
Ca1 0.0000 0.0000 0.0000
S1 0.5000 0.5000 0.5000
I1 0.0000 0.5000 0.5000
O1 0.5000 0.5000 0.0000
# Fermi-level density of states: 0.44 states/eV/atom
# Distance to the lowest polymorph of the same formula: 0 meV per atom
# Volume: 126.63 Å³/cell
# Energy relative to the elements, uncorrected: -0.3887 eV per atom
# VASP energy: -0.237 Ry per atom